A crystal of Cs2AgS2 relaxed with PBEsol, computed with meta-GGA SCAN.

Calculated values
VASP energy: -25.926 eV/atom
size of the total moment: 1.04 μB/f.u.

```
Cs2AgS2
1.0
-0.175 1.369 6.568
-6.259 -1.919 -3.196
-2.331 -6.174 1.225
S Cs Ag
2 2 1
direct
0.796 0.592 0.204
0.204 0.408 0.796
0.250 0.500 0.250
0.750 0.500 0.750
0.000 0.000 0.000
```



A crystal of CsTiAg2S relaxed with PBEsol, computed with meta-GGA SCAN.

Calculated values
VASP energy: -23.398 eV/atom
size of the total moment: 3.20 μB/f.u.

```
CsTiAg2S
1.0
-2.477 -1.645 4.609
-2.922 -3.558 -2.840
3.842 -3.738 0.731
Ag S Ti Cs
2 1 1 1
direct
0.000 0.500 0.000
0.000 0.000 0.500
0.500 0.500 0.500
0.500 0.000 0.000
0.000 0.000 0.000
```



A crystal of CsUAgS3 relaxed with PBEsol, computed with meta-GGA SCAN.

Calculated values
VASP energy: -34.871 eV/atom
size of the total moment: 2.00 μB/f.u.

```
CsUAgS3
1.0
4.027 0.000 0.000
-2.014 7.561 0.000
0.000 0.000 10.276
Ag S U Cs
2 6 2 2
direct
0.544 0.089 0.250
0.456 0.911 0.750
0.055 0.110 0.750
0.384 0.768 0.963
0.945 0.890 0.250
0.616 0.232 0.463
0.616 0.232 0.037
0.384 0.768 0.537
0.000 0.000 0.000
0.000 0.000 0.500
0.260 0.520 0.250
0.740 0.480 0.750
```



A crystal of CsAgSb2 relaxed with PBEsol, computed with meta-GGA SCAN.

Calculated values
VASP energy: -35.512 eV/atom
size of the total moment: 0.00 μB/f.u.

```
CsAgSb2
1.0
-3.948 2.899 -2.357
-2.574 -1.961 -4.367
-5.172 -1.625 0.396
Cs Sb Ag
1 2 1
direct
0.500 0.500 0.500
0.750 0.750 0.750
0.250 0.250 0.250
0.000 0.000 0.000
```



A crystal of Cs2ZrAgSb relaxed with PBEsol, computed with meta-GGA SCAN.

Calculated values
VASP energy: -34.271 eV/atom
size of the total moment: 3.86 μB/f.u.

```
Cs2ZrAgSb
1.0
5.174 0.000 0.000
0.000 6.359 0.000
0.000 0.000 6.359
Ag Cs Zr Sb
1 2 1 1
direct
0.000 0.000 0.000
0.000 0.500 0.000
0.000 0.000 0.500
0.500 0.500 0.500
0.500 0.000 0.000
```



A crystal of CsAgSe4 relaxed with PBEsol, computed with meta-GGA SCAN.

Calculated values
VASP energy: -25.394 eV/atom
size of the total moment: 0.00 μB/f.u.

```
CsAgSe4
1.0
5.710 0.000 0.000
0.000 8.884 0.000
0.000 0.000 13.856
Ag Se Cs
4 16 4
direct
0.544 0.121 0.559
0.044 0.379 0.441
0.956 0.879 0.059
0.456 0.621 0.941
0.706 0.852 0.589
0.112 0.911 0.563
0.628 0.695 0.108
0.872 0.305 0.608
0.888 0.411 0.937
0.206 0.648 0.411
0.388 0.089 0.063
0.852 0.627 0.831
0.372 0.195 0.392
0.794 0.148 0.089
0.612 0.589 0.437
0.128 0.805 0.892
0.352 0.873 0.169
0.294 0.352 0.911
0.648 0.373 0.331
0.148 0.127 0.669
0.162 0.451 0.172
0.662 0.049 0.828
0.338 0.549 0.672
0.838 0.951 0.328
```



A crystal of CsTb2Ag3Se5 relaxed with PBEsol, computed with meta-GGA SCAN.

Calculated values
VASP energy: -30.893 eV/atom
size of the total moment: 0.00 μB/f.u.

```
CsTb2Ag3Se5
1.0
4.250 0.000 0.000
-2.125 7.599 0.000
0.000 0.000 17.220
Tb Ag Se Cs
4 6 10 2
direct
0.309 0.618 0.095
0.309 0.618 0.405
0.691 0.382 0.595
0.691 0.382 0.905
0.086 0.172 0.462
0.157 0.314 0.750
0.914 0.828 0.538
0.843 0.686 0.250
0.914 0.828 0.962
0.086 0.172 0.038
0.065 0.130 0.883
0.319 0.638 0.928
0.681 0.362 0.072
0.935 0.870 0.117
0.754 0.507 0.750
0.065 0.130 0.617
0.935 0.870 0.383
0.319 0.638 0.572
0.246 0.493 0.250
0.681 0.362 0.428
0.562 0.124 0.250
0.438 0.876 0.750
```



A crystal of Cs5Ti6AgSe27 relaxed with PBEsol, computed with meta-GGA SCAN.

Calculated values
VASP energy: -22.987 eV/atom
size of the total moment: 0.00 μB/f.u.

```
Cs5Ti6AgSe27
1.0
-6.009 11.484 4.569
-2.440 -6.018 11.916
11.576 6.818 -1.913
Cs Se Ti Ag
10 54 12 2
direct
0.915 0.667 0.333
0.548 0.667 0.333
0.750 0.970 0.620
0.048 0.333 0.667
0.250 0.620 0.970
0.415 0.333 0.667
0.750 0.380 0.350
0.250 0.350 0.380
0.250 0.030 0.650
0.750 0.650 0.030
0.734 0.109 0.305
0.381 0.802 0.900
0.993 0.809 0.649
0.613 0.890 0.812
0.113 0.812 0.890
0.734 0.695 0.804
0.239 0.140 0.467
0.605 0.471 0.602
0.488 0.846 0.178
0.480 0.990 0.468
0.739 0.467 0.140
0.739 0.674 0.533
0.493 0.649 0.809
0.823 0.518 0.702
0.980 0.468 0.990
0.239 0.326 0.860
0.993 0.840 0.191
0.323 0.816 0.298
0.613 0.921 0.110
0.105 0.602 0.471
0.881 0.902 0.100
0.881 0.198 0.098
0.980 0.010 0.477
0.381 0.098 0.198
0.234 0.305 0.109
0.988 0.154 0.332
0.823 0.184 0.482
0.323 0.702 0.518
0.488 0.332 0.154
0.605 0.398 0.869
0.239 0.533 0.674
0.480 0.532 0.523
0.323 0.482 0.184
0.993 0.351 0.160
0.234 0.804 0.695
0.613 0.188 0.079
0.488 0.822 0.668
0.988 0.668 0.822
0.113 0.110 0.921
0.988 0.178 0.846
0.480 0.477 0.010
0.234 0.891 0.196
0.881 0.900 0.802
0.605 0.131 0.529
0.734 0.196 0.891
0.381 0.100 0.902
0.113 0.079 0.188
0.105 0.529 0.131
0.823 0.298 0.816
0.493 0.191 0.840
0.105 0.869 0.398
0.493 0.160 0.351
0.739 0.860 0.326
0.980 0.523 0.532
0.366 0.016 0.326
0.866 0.326 0.016
0.106 0.017 0.338
0.366 0.674 0.690
0.866 0.984 0.310
0.606 0.338 0.017
0.106 0.662 0.679
0.366 0.310 0.984
0.606 0.679 0.662
0.866 0.690 0.674
0.106 0.321 0.983
0.606 0.983 0.321
0.492 0.000 0.000
0.992 0.000 0.000
```



A crystal of CsSm2Ag3Te5 relaxed with PBEsol, computed with meta-GGA SCAN.

Calculated values
VASP energy: -38.017 eV/atom
size of the total moment: 0.00 μB/f.u.

```
CsSm2Ag3Te5
1.0
4.535 0.000 0.000
-2.268 7.985 0.000
0.000 0.000 18.416
Ag Te Cs Sm
6 10 2 4
direct
0.841 0.681 0.750
0.159 0.319 0.250
0.912 0.823 0.472
0.912 0.823 0.028
0.088 0.177 0.528
0.088 0.177 0.972
0.942 0.883 0.880
0.326 0.653 0.075
0.058 0.117 0.120
0.756 0.511 0.250
0.058 0.117 0.380
0.674 0.347 0.575
0.244 0.489 0.750
0.674 0.347 0.925
0.326 0.653 0.425
0.942 0.883 0.620
0.442 0.884 0.250
0.558 0.116 0.750
0.310 0.620 0.593
0.690 0.380 0.407
0.310 0.620 0.907
0.690 0.380 0.093
```



A crystal of CsAg2Sn2 relaxed with PBEsol, computed with meta-GGA SCAN.

Calculated values
ΔH_f (0 K): -0.050 eV/atom
size of the total moment: 0.00 μB/f.u.

```
CsAg2Sn2
1.0
4.985 0.000 0.000
0.000 4.985 0.000
-2.493 -2.493 5.590
Ag Sn Cs
2 2 1
direct
0.250 0.750 0.500
0.750 0.250 0.500
0.635 0.635 0.269
0.365 0.365 0.731
0.000 0.000 0.000
```



A crystal of CsSr3Ag relaxed with PBEsol, computed with meta-GGA SCAN.

Calculated values
ΔH_f (0 K): 1.158 eV/atom
size of the total moment: 1.36 μB/f.u.

```
CsSr3Ag
1.0
6.037 0.000 0.000
0.000 6.037 0.000
0.000 0.000 6.037
Cs Ag Sr
1 1 3
direct
0.000 0.000 0.000
0.500 0.500 0.500
0.000 0.500 0.000
0.000 0.000 0.500
0.500 0.000 0.000
```